# 1
VASP calculation (SCAN) on Be2ReNi at its PBEsol-relaxed geometry.

Cell: 2.5423 2.8403 5.5297 Å, 90.00 90.00 90.00°
Space group Pmmm (No. 47)
Unique sites:
Be (0.0000, 0.0000, 0.2132) (multiplicity 2)
Re (0.5000, 0.5000, 0.5000) (multiplicity 1)
Ni (0.5000, 0.5000, 0.0000) (multiplicity 1)

Calculated values
Crystal system: orthorhombic
E above lowest polymorph: 0.0 meV/atom
V: 10.0 A^3/atom
Formation energy: -0.267 eV per atom

# 2
VASP calculation (SCAN) on Be2NiRh at its PBEsol-relaxed geometry.

Cell: 5.3435 5.3435 5.3435 Å, 90.00 90.00 90.00°
Space group Fm-3m (No. 225)
Unique sites:
Be (0.2500, 0.2500, 0.2500) (multiplicity 8)
Ni (0.0000, 0.0000, 0.0000) (multiplicity 4)
Rh (0.0000, 0.0000, 0.5000) (multiplicity 4)

Calculated values
Crystal system: cubic
V: 9.5 A^3/atom
Formation energy: -0.731 eV per atom

# 3
VASP calculation (SCAN) on Be2NiRh at its PBEsol-relaxed geometry.

Cell: 2.6969 2.6969 5.2833 Å, 90.00 90.00 90.00°
Space group P4/mmm (No. 123)
Unique sites:
Be (0.0000, 0.0000, 0.2411) (multiplicity 2)
Ni (0.5000, 0.5000, 0.0000) (multiplicity 1)
Rh (0.5000, 0.5000, 0.5000) (multiplicity 1)

Calculated values
Crystal system: tetragonal
V: 9.6 A^3/atom
Formation energy: -0.672 eV per atom

# 4
VASP calculation (SCAN) on Be2NiRh2 at its PBEsol-relaxed geometry.

Cell: 6.0134 6.0134 2.8919 Å, 90.00 90.00 90.00°
Space group P4/mbm (No. 127)
Unique sites:
Be (0.1283, 0.3717, 0.0000) (multiplicity 4)
Ni (0.0000, 0.0000, 0.0000) (multiplicity 2)
Rh (0.1700, 0.6700, 0.5000) (multiplicity 4)

Calculated values
Crystal system: tetragonal
V: 10.5 A^3/atom
Formation energy: -0.524 eV per atom

# 5
VASP calculation (SCAN) on Be2NiRh at its PBEsol-relaxed geometry.

Cell: 3.2335 3.2335 7.6603 Å, 90.00 90.00 90.00°
Space group I-4m2 (No. 119)
Unique sites:
Be (0.0000, 0.0000, 0.0000) (multiplicity 2)
Be (0.0000, 0.5000, 0.2500) (multiplicity 2)
Ni (0.0000, 0.0000, 0.5000) (multiplicity 2)
Rh (0.0000, 0.5000, 0.7500) (multiplicity 2)

Calculated values
Crystal system: tetragonal
V: 10.0 A^3/atom
Formation energy: -0.392 eV per atom

# 6
VASP calculation (SCAN) on Be4NiRh at its PBEsol-relaxed geometry.

Cell: 5.9660 5.9660 5.9660 Å, 90.00 90.00 90.00°
Space group F-43m (No. 216)
Unique sites:
Be (0.1247, 0.1247, 0.1247) (multiplicity 16)
Ni (0.2500, 0.2500, 0.7500) (multiplicity 4)
Rh (0.0000, 0.0000, 0.5000) (multiplicity 4)

Calculated values
Crystal system: cubic
V: 8.8 A^3/atom
Formation energy: -0.475 eV per atom

# 7
VASP calculation (SCAN) on Be3NiRh at its PBEsol-relaxed geometry.

Cell: 4.0302 4.0302 4.0302 Å, 90.00 90.00 90.00°
Space group Pm-3m (No. 221)
Unique sites:
Be (0.0000, 0.0000, 0.5000) (multiplicity 3)
Ni (0.5000, 0.5000, 0.5000) (multiplicity 1)
Rh (0.0000, 0.0000, 0.0000) (multiplicity 1)

Calculated values
Crystal system: cubic
V: 13.1 A^3/atom
Formation energy: 0.502 eV per atom

# 8
VASP calculation (SCAN) on BeNiRh at its PBEsol-relaxed geometry.

Cell: 5.4057 5.4057 5.4057 Å, 90.00 90.00 90.00°
Space group F-43m (No. 216)
Unique sites:
Be (0.0000, 0.0000, 0.0000) (multiplicity 4)
Ni (0.0000, 0.0000, 0.5000) (multiplicity 4)
Rh (0.2500, 0.2500, 0.7500) (multiplicity 4)

Calculated values
Crystal system: cubic
V: 13.2 A^3/atom
Formation energy: 0.259 eV per atom

# 9
VASP calculation (SCAN) on BeNi6Rh at its PBEsol-relaxed geometry.

Cell: 6.9080 9.8443 9.8384 Å, 90.00 90.00 90.00°
Space group Cmmm (No. 65)
Unique sites:
Be (0.0000, 0.0000, 0.2423) (multiplicity 4)
Be (0.0000, 0.2543, 0.0000) (multiplicity 4)
Ni (0.0000, 0.0000, 0.0000) (multiplicity 2)
Ni (0.0000, 0.0000, 0.5000) (multiplicity 2)
Ni (0.0000, 0.2478, 0.2425) (multiplicity 8)
Ni (0.0000, 0.5000, 0.0000) (multiplicity 2)
Ni (0.0000, 0.5000, 0.5000) (multiplicity 2)
Ni (0.2417, 0.1227, 0.3686) (multiplicity 16)
Ni (0.2434, 0.1267, 0.1202) (multiplicity 16)
Rh (0.0000, 0.2526, 0.5000) (multiplicity 4)
Rh (0.0000, 0.5000, 0.2464) (multiplicity 4)

Calculated values
Crystal system: orthorhombic
V: 10.5 A^3/atom
Formation energy: -0.082 eV per atom

# 10
VASP calculation (SCAN) on BeNi2RhS at its PBEsol-relaxed geometry.

Cell: 4.5319 4.5319 4.2218 Å, 90.00 90.00 90.00°
Space group P4/mmm (No. 123)
Unique sites:
Be (0.0000, 0.0000, 0.0000) (multiplicity 1)
Ni (0.0000, 0.5000, 0.5000) (multiplicity 2)
Rh (0.5000, 0.5000, 0.5000) (multiplicity 1)
S (0.5000, 0.5000, 0.0000) (multiplicity 1)

Calculated values
Energy relative to the elements, uncorrected: 5.99 eV per formula unit
Crystal system: tetragonal
V: 17.3 A^3/atom

# 11
VASP calculation (SCAN) on Be2NiRu2 at its PBEsol-relaxed geometry.

Cell: 5.6994 5.6994 3.1586 Å, 90.00 90.00 90.00°
Space group P4/mbm (No. 127)
Unique sites:
Be (0.1263, 0.3737, 0.0000) (multiplicity 4)
Ni (0.0000, 0.0000, 0.0000) (multiplicity 2)
Ru (0.1758, 0.6758, 0.5000) (multiplicity 4)

Calculated values
Crystal system: tetragonal
V: 10.3 A^3/atom
Formation energy: -0.319 eV per atom

# 12
VASP calculation (SCAN) on BeNiSb2 at its PBEsol-relaxed geometry.

Cell: 4.3167 4.3933 7.5744 Å, 90.00 90.00 90.00°
Space group Cmm2 (No. 35)
Unique sites:
Be (0.0000, 0.0000, 0.0000) (multiplicity 2)
Ni (0.0000, 0.5000, 0.1171) (multiplicity 2)
Sb (0.0000, 0.0000, 0.3376) (multiplicity 2)
Sb (0.0000, 0.5000, 0.7727) (multiplicity 2)

Calculated values
Energy relative to the elements, uncorrected: 0.02 eV per formula unit
Crystal system: orthorhombic
V: 18.0 A^3/atom

Raw total energy for every record listed, in sequence, given in eV per cell: -97.05 -246.31 -61.34 -190.08 -120.44 -280.83 -60.50 -214.09 -1086.56 -74.11 -192.26 -190.06.